No. 1
An optimized crystal structure of RbNaNp2I8, computed with PBE-GGA.

abc: 8.253 8.253 9.244
angles: 90.00 90.00 120.00
Element x y z (fractional)
Rb 0.000 0.000 0.000
Na 0.000 0.000 0.500
Np 0.333 0.667 0.411
Np 0.667 0.333 0.589
I 0.061 0.368 0.660
I 0.306 0.939 0.660
I 0.333 0.667 0.084
I 0.368 0.306 0.340
I 0.632 0.694 0.660
I 0.667 0.333 0.916
I 0.694 0.061 0.340
I 0.939 0.632 0.340

Values from the calculation:
- crystal system = trigonal
- formation energy (no corrections) (eV/f.u.) = -11.7

***

No. 2
An optimized crystal structure of PmErMnCd, computed with PBE-GGA.

abc: 5.206 5.206 5.206
angles: 60.00 60.00 60.00
Element x y z (fractional)
Pm 0.000 0.000 0.000
Er 0.500 0.500 0.500
Mn 0.250 0.250 0.250
Cd 0.750 0.750 0.750

Values from the calculation:
- crystal system = cubic
- E_form (eV per formula unit) = 0.00

***

No. 3
An optimized crystal structure of Ba2AgPt, computed with PBE-GGA.

abc: 4.018 5.578 5.578
angles: 90.00 90.00 90.00
Element x y z (fractional)
Ba 0.000 0.000 0.000
Ba 0.000 0.500 0.500
Ag 0.500 0.000 0.500
Pt 0.500 0.500 0.999

Values from the calculation:
- crystal system = orthorhombic
- E_form (eV per formula unit) = -1.82

***

No. 4
An optimized crystal structure of BeAsPt2, computed with PBE-GGA.

abc: 7.086 7.086 7.086
angles: 140.10 140.10 57.70
Element x y z (fractional)
Be 0.000 0.000 0.000
Be 0.750 0.250 0.500
As 0.250 0.750 0.500
As 0.500 0.500 0.000
Pt 0.078 0.625 0.953
Pt 0.375 0.328 0.453
Pt 0.672 0.125 0.047
Pt 0.875 0.922 0.547

Values from the calculation:
- crystal system = tetragonal
- E_form (eV per formula unit) = -0.51

***

No. 5
An optimized crystal structure of SrCoPb2, computed with PBE-GGA.

abc: 3.681 3.681 7.945
angles: 90.00 90.00 90.00
Element x y z (fractional)
Sr 0.000 0.000 0.000
Co 0.500 0.500 0.287
Pb 0.000 0.000 0.410
Pb 0.500 0.500 0.685

Values from the calculation:
- crystal system = tetragonal
- E_form (eV per formula unit) = 0.72

***

No. 6
An optimized crystal structure of TbTmPt4, computed with PBE-GGA.

abc: 5.426 5.426 5.426
angles: 60.00 60.00 60.00
Element x y z (fractional)
Tb 0.000 0.000 0.000
Tm 0.750 0.750 0.750
Pt 0.375 0.375 0.375
Pt 0.375 0.375 0.874
Pt 0.375 0.874 0.375
Pt 0.874 0.375 0.375

Values from the calculation:
- crystal system = cubic
- E_form (eV per formula unit) = -6.75

***

No. 7
An optimized crystal structure of KCa2Re, computed with PBE-GGA.

abc: 12.324 12.324 12.324
angles: 16.22 16.22 16.22
Element x y z (fractional)
K 0.000 0.000 0.000
Ca 0.226 0.226 0.226
Ca 0.774 0.774 0.774
Re 0.500 0.500 0.500

Values from the calculation:
- crystal system = trigonal
- E_form (eV per formula unit) = 3.34

***

No. 8
An optimized crystal structure of LiCeTe3, computed with PBE-GGA.

abc: 4.324 8.024 8.024
angles: 33.75 90.00 90.00
Element x y z (fractional)
Li 0.000 0.000 0.000
Ce 0.000 0.712 0.712
Te 0.000 0.365 0.365
Te 0.500 0.134 0.134
Te 0.500 0.864 0.864

Values from the calculation:
- crystal system = orthorhombic
- formation energy (no corrections) (eV/f.u.) = -4.5